Fe5MoPt6: relaxed, PBE.

DFT total energy   -7.70 eV/atom
Energy relative to the elements   -24.1 kJ/mol of atoms
Theoretical density   15.01 g/cm3
N(E_F)   6.99 states/eV/f.u.

```
Fe5MoPt6
1.0
-1.7745 1.2244 -3.1806
-6.1299 -4.2655 1.7749
1.7127 5.9717 3.6658
Mo Fe Pt
1 5 6
direct
0.0000 0.0000 0.0000 Mo
0.6649 0.1650 0.3299 Fe
0.3334 0.3334 0.6668 Fe
0.0000 0.5000 0.0000 Fe
0.6666 0.6666 0.3332 Fe
0.3351 0.8350 0.6701 Fe
0.8325 0.5816 0.6651 Pt
0.8325 0.0835 0.6651 Pt
0.5002 0.7478 0.0000 Pt
0.4998 0.2522 0.0000 Pt
0.1675 0.9165 0.3349 Pt
0.1675 0.4184 0.3349 Pt
```

---

Fe4MoPt5: relaxed, PBE.

DFT total energy   -7.75 eV/atom
Energy relative to the elements   -25.1 kJ/mol of atoms
Theoretical density   15.02 g/cm3
N(E_F)   5.99 states/eV/f.u.

```
Fe4MoPt5
1.0
2.7456 0.0000 0.0000
0.0000 2.7456 0.0000
0.0000 0.0000 18.9899
Fe Mo Pt
4 1 5
direct
0.0000 0.0000 0.2059 Fe
0.0000 0.0000 0.4020 Fe
0.0000 0.0000 0.5980 Fe
0.0000 0.0000 0.7941 Fe
0.0000 0.0000 0.0000 Mo
0.5000 0.5000 0.1063 Pt
0.5000 0.5000 0.3035 Pt
0.5000 0.5000 0.5000 Pt
0.5000 0.5000 0.6965 Pt
0.5000 0.5000 0.8937 Pt
```

---

FeMoPt: relaxed, PBE.

DFT total energy   -8.55 eV/atom
Energy relative to the elements   -10.1 kJ/mol of atoms
Energy above the most stable polymorph in this dataset   18.0 meV/atom
Theoretical density   13.31 g/cm3
N(E_F)   2.34 states/eV/f.u.

```
FeMoPt
1.0
-2.5824 -3.9677 -3.9430
0.0760 -4.4232 -4.2879
-0.1982 -2.2729 1.4792
Fe Mo Pt
1 1 1
direct
0.0009 0.0009 0.9991 Fe
0.3367 0.3367 0.6633 Mo
0.6624 0.6624 0.3376 Pt
```

---

FeMoPt: relaxed, PBE.

DFT total energy   -8.54 eV/atom
Energy relative to the elements   -9.4 kJ/mol of atoms
Energy above the most stable polymorph in this dataset   25.2 meV/atom
Theoretical density   13.27 g/cm3
N(E_F)   2.03 states/eV/f.u.

```
FeMoPt
1.0
4.3425 0.0000 0.0000
-2.1713 3.7607 0.0000
0.0000 0.0000 2.6587
Fe Mo Pt
1 1 1
direct
0.0000 0.0000 0.8355 Fe
0.6667 0.3333 0.3322 Mo
0.3333 0.6667 0.8323 Pt
```

---

FeMoPt: relaxed, PBE.

DFT total energy   -8.57 eV/atom
Energy relative to the elements   -11.8 kJ/mol of atoms
Energy above the most stable polymorph in this dataset   0.0 meV/atom
Theoretical density   13.42 g/cm3
N(E_F)   2.95 states/eV/f.u.

```
FeMoPt
1.0
4.7420 0.0073 -0.0058
2.3996 4.0901 0.0058
-3.1713 -2.7450 2.2124
Mo Fe Pt
1 1 1
direct
0.3384 0.3384 0.0000 Mo
0.9971 0.9971 0.0000 Fe
0.6645 0.6645 0.0000 Pt
```

---

Fe2MoPt: relaxed, PBE.

DFT total energy   -8.45 eV/atom
Energy relative to the elements   0.0 kJ/mol of atoms
Theoretical density   12.27 g/cm3
N(E_F)   4.31 states/eV/f.u.

```
Fe2MoPt
1.0
-0.9167 -0.3096 2.5254
0.7150 -3.6343 -0.1859
5.0057 0.8863 1.9256
Fe Mo Pt
2 1 1
direct
0.0000 0.0000 0.0060 Fe
0.0000 0.0000 0.4940 Fe
0.5000 0.5000 0.2500 Mo
0.5000 0.5000 0.7500 Pt
```

---

Fe2Mo2Pt3: relaxed, PBE.

DFT total energy   -8.16 eV/atom
Energy relative to the elements   -5.3 kJ/mol of atoms
Theoretical density   14.10 g/cm3
N(E_F)   5.18 states/eV/f.u.

```
Fe2Mo2Pt3
1.0
-0.1950 1.8009 3.8353
-1.6059 -1.9990 0.8570
7.2331 -3.8686 4.5296
Fe Mo Pt
2 2 3
direct
0.5696 0.5000 0.8608 Fe
0.4304 0.5000 0.1392 Fe
0.7103 0.5000 0.5794 Mo
0.2897 0.5000 0.4206 Mo
0.8521 0.0000 0.2958 Pt
0.0000 0.0000 0.0000 Pt
0.1479 0.0000 0.7042 Pt
```

---

Fe2MoPt2: relaxed, PBE.

DFT total energy   -7.74 eV/atom
Energy relative to the elements   22.3 kJ/mol of atoms
Energy above the most stable polymorph in this dataset   333.2 meV/atom
Theoretical density   14.17 g/cm3
N(E_F)   8.17 states/eV/f.u.

```
Fe2MoPt2
1.0
7.2508 0.0000 0.0000
0.0000 7.2508 0.0000
0.0000 0.0000 2.6643
Mo Fe Pt
2 4 4
direct
0.0000 0.0000 0.0000 Mo
0.5000 0.5000 0.0000 Mo
0.1681 0.6681 0.5000 Fe
0.6681 0.8319 0.5000 Fe
0.8319 0.3319 0.5000 Fe
0.3319 0.1681 0.5000 Fe
0.3689 0.8689 0.0000 Pt
0.8689 0.6311 0.0000 Pt
0.6311 0.1311 0.0000 Pt
0.1311 0.3689 0.0000 Pt
```

---

Fe2MoPt: relaxed, PBE.

DFT total energy   -7.98 eV/atom
Energy relative to the elements   44.9 kJ/mol of atoms
Theoretical density   11.11 g/cm3
N(E_F)   3.57 states/eV/f.u.

```
Fe2MoPt
1.0
-0.1273 -2.1384 -3.0686
2.9505 -1.9444 1.2325
-3.8687 -7.5026 3.1068
Mo Fe Pt
2 4 2
direct
0.5000 0.5000 0.0000 Mo
0.2500 0.7500 0.5000 Mo
0.6160 0.1250 0.2500 Fe
0.1340 0.6250 0.2500 Fe
0.3750 0.3840 0.7500 Fe
0.8750 0.8660 0.7500 Fe
0.0000 0.0000 0.0000 Pt
0.7500 0.2500 0.5000 Pt
```

---

Fe2MoPt: relaxed, PBE.

DFT total energy   -8.37 eV/atom
Energy relative to the elements   8.0 kJ/mol of atoms
Theoretical density   11.89 g/cm3
N(E_F)   3.61 states/eV/f.u.

```
Fe2MoPt
1.0
9.1206 0.0577 0.0339
8.7078 2.7135 0.0339
8.7078 1.3535 2.3520
Fe Mo Pt
2 1 1
direct
0.0012 0.0012 0.0012 Fe
0.4988 0.4988 0.4988 Fe
0.2500 0.2500 0.2500 Mo
0.7500 0.7500 0.7500 Pt
```

---

Fe2MoPt: relaxed, PBE.

DFT total energy   -8.44 eV/atom
Energy relative to the elements   0.5 kJ/mol of atoms
Theoretical density   12.00 g/cm3
N(E_F)   3.21 states/eV/f.u.

```
Fe2MoPt
1.0
2.6491 0.0000 0.0000
0.0000 2.6491 0.0000
0.0000 0.0000 7.9426
Fe Mo Pt
2 1 1
direct
0.0000 0.0000 0.9927 Fe
0.0000 0.0000 0.5073 Fe
0.5000 0.5000 0.2500 Mo
0.5000 0.5000 0.7500 Pt
```

---

FeMo2Pt: relaxed, PBE.

DFT total energy   -9.04 eV/atom
Energy relative to the elements   -0.2 kJ/mol of atoms
Energy above the most stable polymorph in this dataset   113.8 meV/atom
Theoretical density   12.54 g/cm3
N(E_F)   5.01 states/eV/f.u.

```
FeMo2Pt
1.0
4.7305 -0.0169 -0.0144
1.5178 4.4804 0.0144
-3.1158 -2.2436 2.7635
Fe Mo Pt
1 2 1
direct
0.7501 0.2501 0.5000 Fe
0.0000 0.0000 0.0000 Mo
0.2500 0.7500 0.5000 Mo
0.5000 0.5000 0.0000 Pt
```